{"formula": "PuTa2", "functional": "PBE", "state": "relaxed", "delta_e_f_ev_per_atom": 0.300, "volume_a3_per_cell": 60, "magmom_total_mub_per_fu": 4.82, "cell": [[3.293, 0.000, 0.000], [0.000, 3.293, 0.000], [-1.646, -1.646, 5.567]], "species": ["Pu", "Ta", "Ta"], "frac_coords": [[0.000, 0.000, 0.000], [0.678, 0.678, 0.356], [0.322, 0.322, 0.644]]}